# CaAl2P, optimized geometry, DFT PBE-GGA
# energy of formation from the pure elements: -0.33 eV/atom
# uncorrected energy: -16.21 eV/f.u.
# calculated volume: 78.8 Å³/f.u.
data_CaAl2P
_chemical_formula_sum 'Ca1 Al2 P1'
_symmetry_space_group_name_H-M 'P 4 m m'
_symmetry_Int_Tables_number 99
_cell_length_a 3.500
_cell_length_b 3.500
_cell_length_c 6.432
_cell_angle_alpha 90.00
_cell_angle_beta 90.00
_cell_angle_gamma 90.00
loop_
_symmetry_equiv_pos_as_xyz
'x,y,z'
'-y,x,z'
'-x,-y,z'
'y,-x,z'
'-x,y,z'
'y,x,z'
'x,-y,z'
'-y,-x,z'
loop_
_atom_site_label
_atom_site_type_symbol
_atom_site_fract_x
_atom_site_fract_y
_atom_site_fract_z
_atom_site_occupancy
Ca1 Ca 0.000 0.000 0.000 1
Al1 Al 0.000 0.000 0.470 1
Al2 Al 0.500 0.500 0.684 1
P1 P 0.500 0.500 0.306 1